Here is a geometry-optimized Pm3NdGe2 structure from Alexandria via LeMat-Bulk. Energies are from GGA-PBE.

```
data_Pm3NdGe2
_space_group_name_H-M_alt 'C 1 2/m 1'
_space_group_IT_number 12
_cell_length_a 17.659
_cell_length_b 4.459
_cell_length_c 9.500
_cell_angle_alpha 90.00
_cell_angle_beta 114.96
_cell_angle_gamma 90.00
loop_
_space_group_symop_operation_xyz
'x,y,z'
'-x,-y,-z'
'-x,y,-z'
'x,-y,z'
'x+1/2,y+1/2,z'
'-x+1/2,-y+1/2,-z'
'-x+1/2,y+1/2,-z'
'x+1/2,-y+1/2,z'
loop_
_atom_site_label
_atom_site_fract_x
_atom_site_fract_y
_atom_site_fract_z
Pm1 0.048 0.000 0.196
Pm2 0.152 0.500 0.976
Pm3 0.191 0.500 0.385
Nd1 0.115 0.000 0.630
Ge1 0.007 0.500 0.366
Ge2 0.239 0.000 0.215
```

Output
ΔE to the lowest computed polymorph in eV/atom: 0.000
Fermi-level density of states in states/eV per atom: 1.00
E_form in eV per atom: -0.57